(1)
10
Lattice="3.625 0.000 0.000 0.000 7.673 0.000 0.000 0.000 7.673" Properties=species:S:1:pos:R:3 comment="GGA-PBEsol Li2MgSn2, relaxed" energy_ev_per_atom=-3.09 formation_energy_ev_per_atom=-0.25 density_kg_m3=4288 pbc="T T T"
Mg 0.000 0.000 0.000
Mg 0.000 3.837 3.837
Sn 0.000 2.807 6.644
Sn 0.000 6.644 4.866
Sn 0.000 4.866 1.030
Sn 0.000 1.030 2.807
Li 1.813 1.275 5.111
Li 1.813 5.111 6.398
Li 1.813 6.398 2.562
Li 1.813 2.562 1.275


(2)
4
Lattice="4.754 0.000 0.000 2.377 4.117 0.000 2.377 1.372 3.882" Properties=species:S:1:pos:R:3 comment="GGA-PBEsol Li2MgSn, relaxed" energy_ev_per_atom=-2.85 formation_energy_ev_per_atom=-0.38 density_kg_m3=3429 pbc="T T T"
Mg 2.377 1.372 0.970
Sn 4.754 2.745 1.941
Li 7.131 4.117 2.911
Li 0.000 0.000 0.000


(3)
5
Lattice="-3.120 2.907 3.151 -0.227 -4.003 3.469 4.374 1.948 2.534" Properties=species:S:1:pos:R:3 comment="GGA-PBEsol LiMgTaSn2, relaxed" energy_ev_per_atom=-4.47 formation_energy_ev_per_atom=0.48 density_kg_m3=4903 pbc="T T T"
Mg 2.187 0.974 1.267
Li 0.514 0.426 4.577
Sn -0.113 -2.001 1.735
Sn -1.560 1.454 1.575
Ta 0.000 0.000 0.000


(4)
4
Lattice="4.795 0.000 0.000 0.000 4.795 0.000 -2.398 -2.398 4.971" Properties=species:S:1:pos:R:3 comment="GGA-PBEsol SrLi2Mg, relaxed" energy_ev_per_atom=-1.82 formation_energy_ev_per_atom=0.05 e_above_lowest_polymorph_ev_per_atom=0.0440 density_kg_m3=1828 pbc="T T T"
Sr 0.000 2.398 2.486
Mg 2.398 2.398 0.000
Li 0.000 0.000 0.000
Li 2.398 0.000 2.486


(5)
5
Lattice="-1.932 3.919 2.974 -4.660 -2.482 0.243 1.577 -2.533 4.363" Properties=species:S:1:pos:R:3 comment="GGA-PBEsol SrLi3Mg, relaxed" energy_ev_per_atom=-1.72 formation_energy_ev_per_atom=0.17 density_kg_m3=1493 pbc="T T T"
Sr -2.508 -0.548 3.790
Mg 0.000 0.000 0.000
Li -2.330 -1.241 0.122
Li 0.788 -1.267 2.181
Li -0.966 1.960 1.487


(6)
4
Lattice="5.767 0.000 0.000 2.883 4.994 0.000 2.883 1.665 4.708" Properties=species:S:1:pos:R:3 comment="GGA-PBEsol Sr2LiMg, relaxed" energy_ev_per_atom=-1.75 formation_energy_ev_per_atom=0.09 density_kg_m3=2529 pbc="T T T"
Li 5.767 3.329 2.354
Mg 2.883 1.665 1.177
Sr 0.000 0.000 0.000
Sr 8.650 4.994 3.531


(7)
4
Lattice="-0.905 3.048 -2.835 -4.469 1.191 2.707 3.775 2.797 5.002" Properties=species:S:1:pos:R:3 comment="GGA-PBEsol Sr2LiMg, relaxed" energy_ev_per_atom=-1.84 formation_energy_ev_per_atom=0.01 density_kg_m3=2302 pbc="T T T"
Sr 3.472 2.667 4.558
Sr -1.677 3.697 0.909
Mg 0.227 4.060 3.892
Li 1.590 2.332 1.599


(8)
4
Lattice="3.999 0.000 0.000 0.000 5.937 0.000 -1.999 -2.968 5.989" Properties=species:S:1:pos:R:3 comment="GGA-PBEsol Sr2LiMg, relaxed" energy_ev_per_atom=-1.84 formation_energy_ev_per_atom=0.01 density_kg_m3=2412 pbc="T T T"
Sr 1.999 2.968 5.742
Sr 1.999 0.000 3.242
Mg 0.000 2.968 2.612
Li 1.999 2.968 0.382


(9)
4
Lattice="4.176 0.000 0.000 0.000 5.840 0.000 0.000 0.000 5.840" Properties=species:S:1:pos:R:3 comment="GGA-PBEsol Sr2LiMg, relaxed" energy_ev_per_atom=-1.86 formation_energy_ev_per_atom=-0.02 density_kg_m3=2408 pbc="T T T"
Sr 0.000 0.000 2.920
Sr 0.000 2.920 0.000
Mg 2.088 0.000 0.000
Li 2.088 2.920 2.920


(10)
4
Lattice="5.378 0.000 0.000 2.689 4.658 0.000 2.689 1.553 4.391" Properties=species:S:1:pos:R:3 comment="GGA-PBEsol SrLi2Mg, relaxed" energy_ev_per_atom=-1.86 formation_energy_ev_per_atom=0.01 e_above_lowest_polymorph_ev_per_atom=0.0092 density_kg_m3=1899 pbc="T T T"
Sr 0.000 0.000 0.000
Mg 5.378 3.105 2.196
Li 8.067 4.658 3.294
Li 2.689 1.553 1.098


(11)
4
Lattice="3.981 0.000 0.000 0.000 3.981 0.000 0.000 0.000 8.895" Properties=species:S:1:pos:R:3 comment="GGA-PBEsol Sr2LiMg, relaxed" energy_ev_per_atom=-1.86 formation_energy_ev_per_atom=-0.01 density_kg_m3=2433 pbc="T T T"
Sr 0.000 0.000 8.428
Sr 1.990 1.990 2.662
Mg 1.990 1.990 6.205
Li 0.000 0.000 4.942


(12)
4
Lattice="3.704 0.000 0.000 0.000 3.901 0.000 0.000 0.000 7.617" Properties=species:S:1:pos:R:3 comment="GGA-PBEsol SrLi2Mg, relaxed" energy_ev_per_atom=-1.85 formation_energy_ev_per_atom=0.02 e_above_lowest_polymorph_ev_per_atom=0.0151 density_kg_m3=1898 pbc="T T T"
Sr 1.852 1.950 0.000
Mg 1.852 1.950 3.808
Li 0.000 0.000 2.355
Li 0.000 0.000 5.262


(13)
4
Lattice="-3.372 -1.151 -1.154 -0.817 -1.102 3.485 -2.980 7.161 1.565" Properties=species:S:1:pos:R:3 comment="GGA-PBEsol SrLi2Mg, relaxed" energy_ev_per_atom=-1.87 formation_energy_ev_per_atom=0.00 e_above_lowest_polymorph_ev_per_atom=0.0000 density_kg_m3=1882 pbc="T T T"
Sr -2.231 5.362 1.172
Mg -3.414 2.043 1.858
Li -2.276 -0.690 1.261
Li -0.738 1.774 0.388


(14)
4
Lattice="-3.458 -1.405 -1.232 0.242 -4.298 4.224 -1.197 5.932 2.865" Properties=species:S:1:pos:R:3 comment="GGA-PBEsol Sr2LiMg, relaxed" energy_ev_per_atom=-1.84 formation_energy_ev_per_atom=0.00 density_kg_m3=2417 pbc="T T T"
Sr -4.293 0.203 5.551
Sr -3.238 0.854 1.845
Mg -1.106 -0.938 4.176
Li -1.796 -2.514 1.639


(15)
4
Lattice="4.176 0.000 0.000 0.000 5.346 -0.275 -2.088 -2.410 5.196" Properties=species:S:1:pos:R:3 comment="GGA-PBEsol SrLi2Mg, relaxed" energy_ev_per_atom=-1.83 formation_energy_ev_per_atom=0.04 e_above_lowest_polymorph_ev_per_atom=0.0386 density_kg_m3=1845 pbc="T T T"
Sr 2.088 0.130 2.487
Mg 2.088 2.687 0.076
Li 2.088 2.920 4.659
Li 0.000 2.808 2.480


(16)
5
Lattice="4.425 0.000 0.000 0.000 4.425 0.000 0.000 0.000 4.425" Properties=species:S:1:pos:R:3 comment="GGA-PBEsol LiMgTa3, relaxed" energy_ev_per_atom=-7.10 formation_energy_ev_per_atom=1.17 density_kg_m3=11000 pbc="T T T"
Mg 2.213 2.213 2.213
Li 0.000 0.000 0.000
Ta 0.000 2.213 0.000
Ta 0.000 0.000 2.213
Ta 2.213 0.000 0.000


(17)
4
Lattice="-3.024 -0.961 -1.608 1.653 -2.807 -1.431 -1.126 -2.508 3.618" Properties=species:S:1:pos:R:3 comment="GGA-PBEsol LiMgTc2, relaxed" energy_ev_per_atom=-6.28 formation_energy_ev_per_atom=0.27 density_kg_m3=6561 pbc="T T T"
Li -1.249 -3.138 0.289
Mg -0.563 -1.254 1.809
Tc 0.826 -1.403 -0.716
Tc -1.512 -0.481 -0.804


(18)
4
Lattice="2.587 0.000 0.000 0.000 4.502 0.000 0.000 0.000 4.970" Properties=species:S:1:pos:R:3 comment="GGA-PBEsol LiMgTc2, relaxed" energy_ev_per_atom=-6.24 formation_energy_ev_per_atom=0.32 density_kg_m3=6519 pbc="T T T"
Li 1.294 2.251 0.000
Mg 1.294 2.251 2.485
Tc 0.000 0.000 3.747
Tc 0.000 0.000 1.223


(19)
4
Lattice="3.393 0.000 0.000 0.000 4.312 0.000 0.000 0.000 7.257" Properties=species:S:1:pos:R:3 comment="GGA-PBEsol LiMgTe2, relaxed" energy_ev_per_atom=-3.38 formation_energy_uncorrected_kcal_per_mol_atoms=-16.027 density_kg_m3=4480 pbc="T T T"
Mg 1.697 2.156 5.777
Te 0.000 0.000 6.874
Te 1.697 2.156 3.054
Li 0.000 0.000 2.437


(20)
5
Lattice="5.178 0.000 0.000 0.000 5.178 0.000 0.000 0.000 5.178" Properties=species:S:1:pos:R:3 comment="GGA-PBEsol Li3MgTe, relaxed" energy_ev_per_atom=-2.51 formation_energy_uncorrected_kcal_per_mol_atoms=-6.429 density_kg_m3=2066 pbc="T T T"
Mg 2.589 2.589 2.589
Te 0.000 0.000 0.000
Li 0.000 2.589 0.000
Li 0.000 0.000 2.589
Li 2.589 0.000 0.000


(21)
4
Lattice="-0.312 1.058 -3.691 0.021 -3.702 -1.063 -6.467 -0.179 0.494" Properties=species:S:1:pos:R:3 comment="GGA-PBEsol LiMgTe2, relaxed" energy_ev_per_atom=-3.19 formation_energy_uncorrected_kcal_per_mol_atoms=-11.700 density_kg_m3=4941 pbc="T T T"
Mg -3.379 -1.412 -2.130
Te -4.843 -0.134 0.370
Te -1.624 -0.045 0.124
Li -0.145 -1.322 -2.377


(22)
4
Lattice="-1.534 -2.762 0.351 2.567 -1.247 1.402 -3.420 3.040 8.967" Properties=species:S:1:pos:R:3 comment="GGA-PBEsol LiMgTe2, relaxed" energy_ev_per_atom=-2.92 formation_energy_uncorrected_kcal_per_mol_atoms=-5.477 density_kg_m3=4676 pbc="T T T"
Mg -2.011 0.242 7.504
Te -3.279 2.914 8.598
Te -0.533 -1.071 3.629
Li -1.693 1.505 4.440


(23)
4
Lattice="-3.550 1.635 -2.707 -4.479 -0.191 1.583 -2.266 4.000 1.212" Properties=species:S:1:pos:R:3 comment="GGA-PBEsol LiMg2Ti, relaxed" energy_ev_per_atom=-3.16 formation_energy_ev_per_atom=0.27 density_kg_m3=2260 pbc="T T T"
Mg -2.574 1.361 0.022
Mg -7.721 4.083 0.066
Li 0.000 0.000 0.000
Ti -5.147 2.722 0.044


(24)
4
Lattice="4.336 0.000 0.000 0.000 4.348 0.000 -2.168 -2.174 4.455" Properties=species:S:1:pos:R:3 comment="GGA-PBEsol LiMg2Tl, relaxed" energy_ev_per_atom=-2.15 formation_energy_ev_per_atom=-0.14 e_above_lowest_polymorph_ev_per_atom=0.0138 density_kg_m3=5139 pbc="T T T"
Tl 0.000 0.000 4.452
Mg 0.000 0.000 0.002
Mg 0.000 2.174 2.225
Li 2.168 0.000 2.231


(25)
4
Lattice="4.181 0.000 0.000 0.000 4.458 0.027 0.000 -0.030 4.458" Properties=species:S:1:pos:R:3 comment="GGA-PBEsol LiMg2Tl, relaxed" energy_ev_per_atom=-2.16 formation_energy_ev_per_atom=-0.15 e_above_lowest_polymorph_ev_per_atom=0.0019 density_kg_m3=5194 pbc="T T T"
Tl 2.090 0.000 0.000
Mg 0.000 -0.015 2.229
Mg 0.000 2.229 0.013
Li 2.090 2.214 2.243


(26)
4
Lattice="-3.001 0.851 1.513 2.013 -0.839 4.466 2.545 4.797 -1.622" Properties=species:S:1:pos:R:3 comment="GGA-PBEsol LiMgTl2, relaxed" energy_ev_per_atom=-2.38 formation_energy_ev_per_atom=-0.14 density_kg_m3=8074 pbc="T T T"
Tl 0.101 0.004 0.199
Tl 1.916 1.946 2.706
Mg -0.553 2.872 1.260
Li -0.401 -0.007 3.181


(27)
6
Lattice="4.806 -0.014 0.012 -2.391 4.169 0.012 -0.022 -0.038 6.069" Properties=species:S:1:pos:R:3 comment="GGA-PBEsol LiMgTl, relaxed" energy_ev_per_atom=-2.32 formation_energy_ev_per_atom=-0.22 e_above_lowest_polymorph_ev_per_atom=0.0000 density_kg_m3=6447 pbc="T T T"
Tl 3.601 0.674 1.529
Tl -1.208 3.443 4.564
Mg 1.207 2.077 0.012
Mg 1.196 2.058 3.046
Li -1.197 3.462 1.529
Li 3.589 0.655 4.564


(28)
4
Lattice="-0.531 -4.843 0.446 3.632 -2.993 -1.336 2.538 -2.436 3.400" Properties=species:S:1:pos:R:3 comment="GGA-PBEsol LiMg2Tl, relaxed" energy_ev_per_atom=-2.14 formation_energy_ev_per_atom=-0.13 e_above_lowest_polymorph_ev_per_atom=0.0183 density_kg_m3=5213 pbc="T T T"
Tl 1.410 -2.568 0.628
Mg 0.000 0.000 0.000
Mg 4.230 -7.704 1.883
Li 2.820 -5.136 1.255


(29)
3
Lattice="-2.954 -2.180 0.254 1.327 -2.101 -2.704 2.981 -0.437 4.293" Properties=species:S:1:pos:R:3 comment="GGA-PBEsol LiMgTl, relaxed" energy_ev_per_atom=-2.30 formation_energy_ev_per_atom=-0.19 e_above_lowest_polymorph_ev_per_atom=0.0291 density_kg_m3=6354 pbc="T T T"
Tl 1.465 -1.743 2.074
Mg -0.096 -2.993 -0.211
Li 1.340 -4.701 1.823


(30)
4
Lattice="3.667 0.000 0.000 -1.833 4.890 -0.241 0.000 -1.488 5.166" Properties=species:S:1:pos:R:3 comment="GGA-PBEsol LiMgTl2, relaxed" energy_ev_per_atom=-2.36 formation_energy_ev_per_atom=-0.13 density_kg_m3=8003 pbc="T T T"
Tl 1.833 1.404 3.814
Tl 0.000 1.997 1.110
Mg 0.000 -0.744 2.583
Li 1.833 0.000 0.000